No. 1
LaZrBr2 | PBE | optimized geometry

Geometry as POSCAR:
```
LaZrBr2
1.0
2.077 0.000 10.040
-1.039 1.799 10.040
-1.039 -1.799 10.040
Br Zr La
2 1 1
direct
0.909 0.909 0.909
0.091 0.091 0.091
0.000 0.000 0.000
0.500 0.500 0.500
```

Output
* E_form (uncorrected): -0.766 eV/atom
* volume: 113 Å³/cell
* offset from the most stable computed form: 178 meV per atom


No. 2
Ba2NaAl | PBE | optimized geometry

Geometry as POSCAR:
```
Ba2NaAl
1.0
9.739 0.000 0.000
0.000 9.739 0.000
4.869 4.869 3.885
Na Ba Al
2 4 2
direct
0.500 0.500 0.000
0.250 0.750 0.500
0.657 0.125 0.250
0.093 0.625 0.250
0.375 0.343 0.750
0.875 0.907 0.750
0.000 0.000 0.000
0.750 0.250 0.500
```

Output
* ΔE_f: 91.7 kJ/mol of formula units
* volume: 369 Å³/cell


No. 3
SmHo3Al | PBE | optimized geometry

Geometry as POSCAR:
```
SmHo3Al
1.0
3.597 0.000 0.000
1.798 6.438 0.558
-0.001 -0.046 12.457
Sm Ho Al
2 6 2
direct
0.224 0.552 0.747
0.776 0.448 0.253
0.141 0.717 0.451
0.365 0.270 0.018
0.032 0.936 0.195
0.859 0.283 0.549
0.968 0.064 0.805
0.635 0.730 0.982
0.548 0.904 0.619
0.452 0.096 0.381
```

Output
* ΔE_f: -67.4 kJ/mol of formula units
* volume: 289 Å³/cell
* offset from the most stable computed form: 0 meV per atom


No. 4
TiInRe2Ge | PBE | optimized geometry

Geometry as POSCAR:
```
TiInRe2Ge
1.0
-0.022 -0.994 4.489
-3.317 -3.134 -0.710
3.199 -3.227 -0.699
Re Ge Ti In
2 1 1 1
direct
0.000 0.000 0.500
0.500 0.000 0.000
0.000 0.000 0.000
0.000 0.500 0.000
0.500 0.500 0.500
```

Output
* ΔE_f: 516.5 kJ/mol of formula units
* volume: 98 Å³/cell


No. 5
Tl2Sn2Bi | PBE | optimized geometry

Geometry as POSCAR:
```
Tl2Sn2Bi
1.0
-4.368 3.799 0.233
-2.086 -6.017 -0.734
1.828 1.051 9.072
Tl Sn Bi
4 4 2
direct
0.952 0.896 0.658
0.155 0.315 0.032
0.048 0.104 0.342
0.845 0.685 0.968
0.346 0.723 0.424
0.453 0.923 0.141
0.654 0.277 0.576
0.547 0.077 0.859
0.725 0.481 0.289
0.275 0.519 0.711
```

Output
* ΔE_f: 9.8 kJ/mol of formula units
* volume: 304 Å³/cell
* offset from the most stable computed form: 5 meV per atom


No. 6
TmZrW4 | PBE | optimized geometry

Geometry as POSCAR:
```
TmZrW4
1.0
5.461 0.000 0.000
2.730 4.729 0.000
2.730 1.576 4.459
Tm Zr W
1 1 4
direct
0.000 0.000 0.000
0.250 0.250 0.250
0.625 0.625 0.124
0.625 0.124 0.625
0.625 0.625 0.625
0.124 0.625 0.625
```

Output
* ΔE_f: -13.3 kJ/mol of formula units
* volume: 115 Å³/cell


> Which formula does entry 3 have?

SmHo3Al


> What is the volume in the third record?

289 Å³/cell